Entry 1:
The following is a PBE calculation of ErMn2 after structural relaxation, from Alexandria via LeMat-Bulk.

Cell lengths 5.1132, 5.1132, 8.5559 Å; angles 86.71, 86.71, 62.80 degrees
Each line ends with the local moment (μB).
Atoms (fractional coordinates):
Mn  0.0000  0.0000  0.0000  2.22
Mn  0.6708  0.1600  0.7453  2.24
Mn  0.8318  0.8318  0.2459  -2.29
Mn  0.3292  0.8400  0.2547  2.24
Mn  0.1600  0.6708  0.7453  2.24
Mn  0.0000  0.0000  0.5000  -2.36
Mn  0.1682  0.1682  0.7541  -2.29
Mn  0.8400  0.3292  0.2547  2.24
Er  0.3341  0.3341  0.4360  0.03
Er  0.6659  0.6659  0.5640  0.03
Er  0.6682  0.6682  0.9383  -0.26
Er  0.3318  0.3318  0.0617  -0.26

## Properties
Its crystal system is monoclinic. Its energy relative to the elements is 17 meV/atom. Its space group is No. 12.

Entry 2:
The following is a PBE calculation of SrSi2Rh after structural relaxation, from Alexandria via LeMat-Bulk.

Cell lengths 4.4608, 4.0980, 4.0980 Å; angles 90.00, 90.00, 90.00 degrees
Atoms (fractional coordinates):
Si  0.0000  0.5000  0.5000
Si  0.0000  0.0000  0.0000
Rh  0.5000  0.0000  0.5000
Sr  0.5000  0.5000  0.0000

## Properties
Its crystal system is tetragonal. Its space group is No. 123. For the electronic total energy, the calculation gives -4.864 eV per atom.

Entry 3:
The following is a PBE calculation of NaCrSe2 after structural relaxation, from Alexandria via LeMat-Bulk.

Cell lengths 3.7693, 3.7693, 7.2744 Å; angles 74.98, 74.98, 60.00 degrees
Each line ends with the local moment (μB).
Atoms (fractional coordinates):
Na  0.4994  0.4994  0.5019  0.00
Se  0.2679  0.2679  0.1963  -0.10
Se  0.0658  0.0658  0.8027  -0.10
Cr  0.6670  0.6670  0.9990  3.01

## Properties
Its crystal system is trigonal. Its space group is No. 160. For the electronic total energy, the calculation gives -5.275 eV per atom.